AcPm4Y8 after structural relaxation, computed with PBE.

Output
M_tot (μB/f.u.): 2.86
Crystal system: cubic
E_form (eV/atom): 0.52

Lattice parameters (Å, degrees): 7.914 7.914 7.914 90.00 90.00 90.00
Fractional positions:
Ac (0.000, 0.000, 0.000)
Pm (0.000, 0.000, 0.500)
Pm (0.000, 0.500, 0.000)
Pm (0.500, 0.000, 0.000)
Pm (0.500, 0.500, 0.500)
Y (0.263, 0.263, 0.263)
Y (0.263, 0.263, 0.737)
Y (0.263, 0.737, 0.263)
Y (0.263, 0.737, 0.737)
Y (0.737, 0.263, 0.263)
Y (0.737, 0.263, 0.737)
Y (0.737, 0.737, 0.263)
Y (0.737, 0.737, 0.737)

---

Ac15Pm4Y after structural relaxation, computed with PBE.

Output
M_tot (μB/f.u.): 0.00
Crystal system: tetragonal
E_form (eV/atom): 0.03

Lattice parameters (Å, degrees): 5.532 5.532 27.524 90.00 90.00 90.00
Fractional positions:
Ac (0.000, 0.000, 0.000)
Ac (0.000, 0.000, 0.200)
Ac (0.000, 0.000, 0.400)
Ac (0.000, 0.000, 0.600)
Ac (0.000, 0.000, 0.800)
Ac (0.000, 0.500, 0.099)
Ac (0.000, 0.500, 0.300)
Ac (0.000, 0.500, 0.500)
Ac (0.000, 0.500, 0.700)
Ac (0.000, 0.500, 0.901)
Ac (0.500, 0.000, 0.099)
Ac (0.500, 0.000, 0.300)
Ac (0.500, 0.000, 0.500)
Ac (0.500, 0.000, 0.700)
Ac (0.500, 0.000, 0.901)
Pm (0.500, 0.500, 0.199)
Pm (0.500, 0.500, 0.400)
Pm (0.500, 0.500, 0.600)
Pm (0.500, 0.500, 0.801)
Y (0.500, 0.500, 0.000)

---

AcPmY4 after structural relaxation, computed with PBE.

Output
M_tot (μB/f.u.): 0.00
Crystal system: monoclinic
E_form (eV/atom): 0.02

Lattice parameters (Å, degrees): 6.342 6.342 12.401 104.74 104.74 59.98
Fractional positions:
Ac (0.000, 0.500, 0.000)
Ac (0.500, 0.000, 0.500)
Pm (0.079, 0.921, 0.250)
Pm (0.921, 0.079, 0.750)
Y (0.167, 0.665, 0.498)
Y (0.250, 0.421, 0.750)
Y (0.335, 0.833, 0.002)
Y (0.421, 0.250, 0.250)
Y (0.579, 0.750, 0.750)
Y (0.665, 0.167, 0.998)
Y (0.750, 0.579, 0.250)
Y (0.833, 0.335, 0.502)

---

Ac4Pm4Y after structural relaxation, computed with PBE.

Output
M_tot (μB/f.u.): 0.00
Crystal system: tetragonal
E_form (eV/atom): 0.04

Lattice parameters (Å, degrees): 8.486 8.486 8.486 95.74 95.74 143.11
Fractional positions:
Ac (0.167, 0.167, 0.333)
Ac (0.167, 0.833, 0.000)
Ac (0.833, 0.167, 0.000)
Ac (0.833, 0.833, 0.667)
Pm (0.161, 0.500, 0.661)
Pm (0.500, 0.161, 0.661)
Pm (0.500, 0.839, 0.339)
Pm (0.839, 0.500, 0.339)
Y (0.500, 0.500, 0.000)

---

Ac8Pm6Y after structural relaxation, computed with PBE.

Output
M_tot (μB/f.u.): 0.00
Crystal system: trigonal
E_form (eV/atom): 0.23

Lattice parameters (Å, degrees): 9.247 9.247 9.247 66.58 66.58 66.58
Fractional positions:
Ac (0.089, 0.363, 0.677)
Ac (0.231, 0.231, 0.231)
Ac (0.323, 0.911, 0.637)
Ac (0.363, 0.677, 0.089)
Ac (0.637, 0.323, 0.911)
Ac (0.677, 0.089, 0.363)
Ac (0.769, 0.769, 0.769)
Ac (0.911, 0.637, 0.323)
Pm (0.129, 0.819, 0.440)
Pm (0.181, 0.560, 0.871)
Pm (0.440, 0.129, 0.819)
Pm (0.560, 0.871, 0.181)
Pm (0.819, 0.440, 0.129)
Pm (0.871, 0.181, 0.560)
Y (0.500, 0.500, 0.500)

---

AcPm3Y4 after structural relaxation, computed with PBE.

Output
M_tot (μB/f.u.): 0.00
Crystal system: orthorhombic
E_form (eV/atom): 0.03

Lattice parameters (Å, degrees): 11.721 7.425 6.402 90.00 90.00 90.00
Fractional positions:
Ac (0.000, 0.125, 0.000)
Ac (0.500, 0.875, 0.500)
Pm (0.000, 0.869, 0.494)
Pm (0.248, 0.128, 0.660)
Pm (0.252, 0.872, 0.160)
Pm (0.500, 0.131, 0.994)
Pm (0.748, 0.872, 0.160)
Pm (0.752, 0.128, 0.660)
Y (0.000, 0.381, 0.496)
Y (0.000, 0.623, 0.995)
Y (0.248, 0.621, 0.660)
Y (0.252, 0.379, 0.160)
Y (0.500, 0.377, 0.495)
Y (0.500, 0.619, 0.996)
Y (0.748, 0.379, 0.160)
Y (0.752, 0.621, 0.660)